# 1
Here is crystalline Pu2HfGe at its relaxed geometry from Alexandria via LeMat-Bulk. Energies are from PBE.

Calculated values
Space-group type ... P4/mmm

a = 4.2508 Å, b = 4.2508 Å, c = 4.7236 Å
α = 90.00°, β = 90.00°, γ = 90.00°
Fractional positions:
Pu 0.0000 0.5000 0.0000
Pu 0.5000 0.0000 0.0000
Hf 0.0000 0.0000 0.5000
Ge 0.5000 0.5000 0.5000


# 2
Here is crystalline PuRh3 at its relaxed geometry from Alexandria via LeMat-Bulk. Energies are from PBE.

Calculated values
Space-group type ... Pm-3m

a = 4.0419 Å, b = 4.0419 Å, c = 4.0419 Å
α = 90.00°, β = 90.00°, γ = 90.00°
Fractional positions:
Pu 0.0000 0.0000 0.0000
Rh 0.0000 0.5000 0.5000
Rh 0.5000 0.0000 0.5000
Rh 0.5000 0.5000 0.0000


Number 1: magnetization 10.47 μB/f.u., ΔE_f -22.97 kJ per mole of atoms. Number 2: magnetization 3.22 μB/f.u., ΔE_f -37.97 kJ per mole of atoms.